The following is a DFT calculation (PBE) of crystalline Ba2Mg6Zn at its relaxed geometry.

Properties
symmetry: No. 12
E_tot: -0.12260 Ry/atom
ΔE_f: -3.5 kJ/mol of atoms

abc: 6.9681 6.4294 7.1825
angles: 84.12 90.00 122.81
Closest atoms and distances in Å follow each position.
Fractional coordinates of all 9 atoms:
Ba: 0.6619 0.3237 0.1165  11 Mg 3.65-4.03, 3 Zn 3.65-4.03, 1 Ba 4.06
Ba: 0.3381 0.6763 0.8835  11 Mg 3.65-4.03, 3 Zn 3.65-4.03, 1 Ba 4.06
Mg: 0.8412 0.2310 0.6365  5 Mg 2.98-3.32
Mg: 0.8764 0.7528 0.6832  1 Zn 2.78, 2 Mg 2.98
Mg: 0.3898 0.2310 0.6365  5 Mg 2.98-3.32
Mg: 0.1588 0.7690 0.3635  5 Mg 2.98-3.32
Mg: 0.1236 0.2472 0.3168  1 Zn 2.78, 2 Mg 2.98
Mg: 0.6102 0.7690 0.3635  5 Mg 2.98-3.32
Zn: 0.0000 0.0000 0.0000  2 Mg 2.78